{
  "formula": "Li3V4FeO12",
  "functional": "PBE with a Hubbard U",
  "state": "optimized geometry",
  "cell": [[-1.695, -4.418, -1.761], [4.792, -0.942, -2.191], [1.602, -3.135, 6.527]],
  "species": ["O", "O", "O", "O", "Li", "O", "O", "V", "V", "Li", "V", "Li", "O", "O", "O", "O", "O", "O", "Fe", "V"],
  "fractional_positions": [[0.124, 0.965, 0.265], [0.181, 0.280, 0.588], [0.308, 0.157, 0.960], [0.169, 0.655, 0.953], [0.004, 0.568, 0.214], [0.288, 0.780, 0.588], [0.826, 0.665, 0.468], [0.996, 0.995, 0.482], [0.511, 0.506, 0.010], [0.496, 0.067, 0.715], [0.007, 0.010, 0.995], [0.508, 0.070, 0.212], [0.811, 0.267, 0.077], [0.691, 0.774, 0.081], [0.634, 0.460, 0.757], [0.697, 0.149, 0.454], [0.386, 0.462, 0.268], [0.874, 0.957, 0.773], [0.998, 0.581, 0.712], [0.489, 0.491, 0.498]],
  "spacegroup": "P1 (1)",
  "mass_density_g_cm3": 3.931,
  "e_above_lowest_polymorph_mev_per_atom": 23
}